Li2YIrPd | PBE | optimized geometry

Structure (extended XYZ):
```
5
Lattice="4.341 0.000 0.000 0.000 4.341 0.000 0.000 0.000 5.420" Properties=species:S:1:pos:R:3 pbc="T T T"
Li 0.000 2.170 0.000
Li 2.170 0.000 0.000
Y 0.000 0.000 2.710
Ir 2.170 2.170 2.710
Pd 0.000 0.000 0.000
```

- Raw total energy: -4.69 eV per atom
- Calculated formation energy: 0.88 eV per formula unit
- Total magnetic moment: 0.000 μB/atom
- Symmetry: P4/mmm (123)